First-principles (GGA-PBE) data for crystalline BaCa2Ag4 at its relaxed geometry, as listed in the Alexandria database.

The structure in POSCAR format:
```
BaCa2Ag4
1.0
4.629 0.000 -1.055
-0.219 4.106 -0.959
-0.043 0.278 10.492
Ca Ba Ag
2 1 4
direct
0.811 0.811 0.622
0.189 0.189 0.378
0.500 0.000 0.000
0.653 0.653 0.305
0.347 0.347 0.695
0.072 0.572 0.144
0.928 0.428 0.856
```

Results
As for the space-group type: Immm (71). As for the total magnetic moment: 0.0 μB per cell.

=====

First-principles (GGA-PBE) data for crystalline BaCa2Ag at its relaxed geometry, as listed in the Alexandria database.

The structure in POSCAR format:
```
BaCa2Ag
1.0
7.017 0.006 0.000
3.382 6.148 0.000
-5.199 -3.077 3.568
Ca Ba Ag
2 1 1
direct
0.000 0.000 0.000
0.500 0.500 0.000
0.750 0.250 0.500
0.250 0.750 0.500
```

Results
As for the space-group type: I4/mmm (139). The value obtained for the excess energy over the best structure of this formula in the dataset is 226 meV per atom. As for the total magnetic moment: 0.0 μB per cell.

=====

First-principles (GGA-PBE) data for crystalline BaCa4Ag5 at its relaxed geometry, as listed in the Alexandria database.

The structure in POSCAR format:
```
BaCa4Ag5
1.0
3.816 0.000 0.000
0.000 3.816 0.000
0.000 0.000 18.727
Ba Ca Ag
1 4 5
direct
0.000 0.000 0.000
0.000 0.000 0.212
0.000 0.000 0.404
0.000 0.000 0.596
0.000 0.000 0.788
0.500 0.500 0.123
0.500 0.500 0.306
0.500 0.500 0.500
0.500 0.500 0.694
0.500 0.500 0.877
```

Results
As for the space-group type: P4/mmm (123). As for the total magnetic moment: 0.0 μB per cell.

=====

First-principles (GGA-PBE) data for crystalline BaCa5Ag6 at its relaxed geometry, as listed in the Alexandria database.

The structure in POSCAR format:
```
BaCa5Ag6
1.0
-0.762 5.218 -0.919
-7.026 -1.453 -2.421
-2.378 -1.782 7.970
Ca Ba Ag
5 1 6
direct
0.668 0.500 0.331
0.329 0.000 0.661
0.000 0.500 0.000
0.671 0.000 0.339
0.332 0.500 0.669
0.000 0.000 0.000
0.821 0.736 0.652
0.821 0.264 0.652
0.500 0.276 0.000
0.500 0.724 0.000
0.179 0.736 0.348
0.179 0.264 0.348
```

Results
As for the space-group type: P2/m (10). As for the total magnetic moment: 0.0 μB per cell.

=====

First-principles (GGA-PBE) data for crystalline BaCa2Ag at its relaxed geometry, as listed in the Alexandria database.

The structure in POSCAR format:
```
BaCa2Ag
1.0
7.164 0.000 0.000
0.000 7.164 0.000
3.582 3.582 8.758
Ca Ba Ag
4 2 2
direct
0.377 0.125 0.250
0.373 0.625 0.250
0.375 0.623 0.750
0.875 0.627 0.750
0.000 0.000 0.000
0.750 0.250 0.500
0.500 0.500 0.000
0.250 0.750 0.500
```

Results
As for the space-group type: I-42d (122). The value obtained for the excess energy over the best structure of this formula in the dataset is 520 meV per atom. As for the total magnetic moment: 0.0 μB per cell.

=====

First-principles (GGA-PBE) data for crystalline Ba3CaAg2 at its relaxed geometry, as listed in the Alexandria database.

The structure in POSCAR format:
```
Ba3CaAg2
1.0
4.666 0.000 0.940
1.937 9.571 2.436
0.044 0.271 11.828
Ba Ca Ag
6 2 4
direct
0.157 0.928 0.758
0.843 0.072 0.242
0.417 0.243 0.923
0.583 0.757 0.077
0.587 0.282 0.545
0.413 0.718 0.455
0.828 0.581 0.763
0.172 0.419 0.237
0.234 0.583 0.950
0.766 0.417 0.050
0.766 0.916 0.552
0.234 0.084 0.448
```

Results
As for the space-group type: C2/m (12). As for the total magnetic moment: 0.0 μB per cell.

=====

Raw total energy (computed, eV/atom): -2.77, -2.13, -2.71, -2.70, -1.84, -2.41